(1)
An optimized crystal structure of UMnGaNi, computed with PBE.

Values from the calculation:
Size of the total moment, μB/f.u.: 0.148
DOS(E_F), states/eV/cell: 25.7
Formation energy, eV/atom: -0.0488

Lattice parameters (Å, degrees): 6.293 6.293 6.293 90.00 90.00 90.00
Space group F-43m (No. 216)
Unique sites:
U (0.000, 0.000, 0.000) x4
Mn (0.250, 0.250, 0.250) x4
Ga (0.000, 0.000, 0.500) x4
Ni (0.250, 0.250, 0.750) x4

***

(2)
An optimized crystal structure of Y2MnGa2Ni5, computed with PBE.

Values from the calculation:
Size of the total moment, μB/f.u.: 3.473
DOS(E_F), states/eV/cell: 11.5
Formation energy, eV/atom: -0.3001

Lattice parameters (Å, degrees): 9.520 9.520 3.413 90.00 90.00 90.00
Space group P4/mbm (No. 127)
Unique sites:
Y (0.176, 0.324, 0.000) x4
Mn (0.000, 0.000, 0.000) x2
Ga (0.123, 0.623, 0.000) x4
Ni (0.000, 0.500, 0.500) x2
Ni (0.056, 0.802, 0.500) x8